Entry 1:
VASP calculation (GGA-PBE) on crystalline LiEr2Zr at its relaxed geometry.

Geometry as POSCAR:
```
LiEr2Zr
1.0
5.483 0.000 0.000
0.000 5.483 0.000
0.000 0.000 3.410
Li Er Zr
1 2 1
Direct
0.000 0.000 0.000
0.000 0.500 0.500
0.500 0.000 0.500
0.500 0.500 0.000
```

**Volume**: 103 Å³/cell
**Symmetry**: No. 123
**Excess energy over the best structure of this formula in the dataset**: 0.1142 eV/atom
**Energy of formation from the pure elements**: 182 meV per atom
**Theoretical density**: 7.008 g cm⁻³

---

Entry 2:
VASP calculation (GGA-PBE) on crystalline TbYBeCd at its relaxed geometry.

Geometry as POSCAR:
```
TbYBeCd
1.0
0.000 3.614 3.614
3.614 0.000 3.614
3.614 3.614 0.000
Tb Y Be Cd
1 1 1 1
Direct
0.000 0.000 0.000
0.500 0.500 0.500
0.750 0.750 0.750
0.250 0.250 0.250
```

**Volume**: 94 Å³/cell
**Symmetry**: No. 216
**Energy of formation from the pure elements**: -50 meV per atom
**Theoretical density**: 6.493 g cm⁻³

---

Entry 3:
VASP calculation (GGA-PBE) on crystalline SnTe2P at its relaxed geometry.

Geometry as POSCAR:
```
SnTe2P
1.0
0.000 3.678 3.678
3.678 0.000 3.678
3.678 3.678 0.000
Sn Te P
1 2 1
Direct
0.000 0.000 0.000
0.250 0.250 0.250
0.750 0.750 0.750
0.500 0.500 0.500
```

**Volume**: 100 Å³/cell
**Symmetry**: No. 225
**Formation energy from raw total energies**: 0.41 eV/atom
**Excess energy over the best structure of this formula in the dataset**: 0.2119 eV/atom
**Theoretical density**: 6.755 g cm⁻³

---

Entry 4:
VASP calculation (GGA-PBE) on crystalline BaEuNi at its relaxed geometry.

Geometry as POSCAR:
```
BaEuNi
1.0
0.000 3.693 3.693
3.693 0.000 3.693
3.693 3.693 0.000
Ba Eu Ni
1 1 1
Direct
0.000 0.000 0.000
0.500 0.500 0.500
0.250 0.250 0.250
```

**Volume**: 101 Å³/cell
**Symmetry**: No. 216
**Excess energy over the best structure of this formula in the dataset**: 0.0673 eV/atom
**Energy of formation from the pure elements**: 98 meV per atom
**Theoretical density**: 5.735 g cm⁻³

---

Question: Number 3 is which compound?
Answer: SnTe2P

---

Question: volume of number 2 (TbYBeCd)?
Answer: 94 Å³/cell

---

Copy entry 3 word for word.
VASP calculation (GGA-PBE) on crystalline SnTe2P at its relaxed geometry.

Geometry as POSCAR:
```
SnTe2P
1.0
0.000 3.678 3.678
3.678 0.000 3.678
3.678 3.678 0.000
Sn Te P
1 2 1
Direct
0.000 0.000 0.000
0.250 0.250 0.250
0.750 0.750 0.750
0.500 0.500 0.500
```

**Volume**: 100 Å³/cell
**Symmetry**: No. 225
**Formation energy from raw total energies**: 0.41 eV/atom
**Excess energy over the best structure of this formula in the dataset**: 0.2119 eV/atom
**Theoretical density**: 6.755 g cm⁻³